No. 1
Compound: NaPu2CuO8
Source: the Alexandria database
Functional: PBE
Structure: optimized geometry

## Properties
**Magnetic moment**: 1.98 μB per formula unit
**ΔE_f (raw)**: -1.98 eV/atom
**Density**: 7318 kg/m³

a b c (Å): 4.793 4.808 6.927
angles (deg): 87.28 89.42 88.95
Space group P-1 (No. 2)
Symmetry-distinct sites (fractional):
Na1 0.000 0.000 0.000
Pu1 0.500 0.491 0.253
Cu1 0.000 0.000 0.500
O1 0.215 0.786 0.729
O2 0.225 0.770 0.257
O3 0.306 0.303 0.492
O4 0.321 0.325 0.982


No. 2
Compound: KLiLa2
Source: the Alexandria database
Functional: PBE
Structure: optimized geometry

## Properties
**Magnetic moment**: 0.00 μB per formula unit
**E_form**: 1.5 eV/f.u.
**Density**: 3525 kg/m³

a b c (Å): 3.543 6.093 7.067
angles (deg): 90.00 90.00 90.00
Space group Pmmm (No. 47)
Symmetry-distinct sites (fractional):
K1 0.000 0.000 0.000
Li1 0.000 0.000 0.500
La1 0.500 0.500 0.285


No. 3
Compound: CsV3Ag
Source: the Alexandria database
Functional: PBE
Structure: optimized geometry

## Properties
**Magnetic moment**: 9.44 μB per formula unit
**E_form**: 8.6 eV/f.u.
**Density**: 5224 kg/m³

a b c (Å): 5.001 5.001 5.001
angles (deg): 90.00 90.00 90.00
Space group Pm-3m (No. 221)
Symmetry-distinct sites (fractional):
Cs1 0.000 0.000 0.000
V1 0.000 0.500 0.500
Ag1 0.500 0.500 0.500


| no. | E (eV per cell) |
| --- | --- |
| 1 | -97.53 |
| 2 | -11.38 |
| 3 | -22.41 |